1.
GGA-PBE Ce2ThPa3P6, optimized geometry; energy of formation = -1424 meV/atom; uncorrected energy = -97.3 eV per cell
1.0
-1.234 0.696 -6.834
0.410 -6.362 2.841
-6.218 1.999 2.515
Ce Th Pa P
2 1 3 6
direct
0.333 0.667 0.000
0.667 0.333 0.000
0.000 0.000 0.000
0.166 0.834 0.500
0.834 0.166 0.500
0.500 0.500 0.500
0.913 0.577 0.739
0.751 0.751 0.260
0.087 0.423 0.261
0.577 0.913 0.739
0.249 0.249 0.740
0.423 0.087 0.261



2.
GGA-PBE CeTh3Pa2P6, optimized geometry; energy of formation = -1466 meV/atom; uncorrected energy = -97.2 eV per cell
1.0
-6.968 -0.072 1.139
3.767 -5.921 0.782
2.096 3.497 5.744
Ce Th Pa P
1 3 2 6
direct
0.000 0.000 0.000
0.165 0.835 0.500
0.835 0.165 0.500
0.500 0.500 0.500
0.333 0.667 0.000
0.667 0.333 0.000
0.920 0.582 0.761
0.741 0.741 0.238
0.080 0.418 0.239
0.582 0.920 0.761
0.259 0.259 0.762
0.418 0.080 0.239



Please write out number 2 again, unchanged.
GGA-PBE CeTh3Pa2P6, optimized geometry; energy of formation = -1466 meV/atom; uncorrected energy = -97.2 eV per cell
1.0
-6.968 -0.072 1.139
3.767 -5.921 0.782
2.096 3.497 5.744
Ce Th Pa P
1 3 2 6
direct
0.000 0.000 0.000
0.165 0.835 0.500
0.835 0.165 0.500
0.500 0.500 0.500
0.333 0.667 0.000
0.667 0.333 0.000
0.920 0.582 0.761
0.741 0.741 0.238
0.080 0.418 0.239
0.582 0.920 0.761
0.259 0.259 0.762
0.418 0.080 0.239



- Among the records above, which one has the highest energy of formation?
  Ce2ThPa3P6



- Which of these has the highest energy of formation?
  Ce2ThPa3P6